No. 1
First-principles (PBE) data for ErZn6Ga6 after structural relaxation, as listed in Alexandria.

**Total energy**: -63.4 eV/cell
**Fermi-level density of states**: 4.1 states/eV/f.u.
**Theoretical density**: 7.2 g cm⁻³
**E_form**: -0.101 eV/atom
**Magnetization**: 0.000 μB/f.u.

a b c (Å): 5.331 9.083 9.274
angles (deg): 90.00 90.00 90.00
Space group Immm (No. 71)
Asymmetric unit:
Er: 0.000 0.000 0.000 x2
Zn: 0.000 0.500 0.273 x4
Zn: 0.250 0.250 0.250 x8
Ga: 0.000 0.000 0.353 x4
Ga: 0.000 0.317 0.500 x4
Ga: 0.000 0.348 0.000 x4

=====

No. 2
First-principles (PBE) data for ErZn2Ga after structural relaxation, as listed in Alexandria.

**Total energy**: -33.8 eV/cell
**Fermi-level density of states**: 1.9 states/eV/f.u.
**Theoretical density**: 7.9 g cm⁻³
**E_form**: -0.282 eV/atom
**Magnetization**: 0.000 μB/f.u.

a b c (Å): 4.2453 4.2453 14.8055
angles (deg): 90.00 90.00 120.00
Space group R-3m (No. 166, hexagonal axes)
Asymmetric unit:
Er: 0.0000 0.0000 0.0000 x3
Zn: 0.0000 0.0000 0.2192 x6
Ga: 0.0000 0.0000 0.5000 x3

=====

No. 3
First-principles (PBE) data for Er2ZnGa after structural relaxation, as listed in Alexandria.

**Total energy**: -15.3 eV/cell
**Fermi-level density of states**: 3.3 states/eV/f.u.
**Theoretical density**: 8.8 g cm⁻³
**E_form**: -0.476 eV/atom
**Magnetization**: 0.000 μB/f.u.

a b c (Å): 5.011 5.011 3.523
angles (deg): 90.00 90.00 90.00
Space group P4/mmm (No. 123)
Asymmetric unit:
Er: 0.000 0.500 0.000 x2
Zn: 0.000 0.000 0.500 x1
Ga: 0.500 0.500 0.500 x1

=====

What is the total energy in the second record? -33.8 eV/cell